# PBE-GGA V2NiOs, relaxed
data_V2NiOs
_chemical_formula_sum 'V4 Ni2 Os2'
_cell_length_a 5.3380
_cell_length_b 5.3380
_cell_length_c 5.3380
_cell_angle_alpha 103.23
_cell_angle_beta 103.23
_cell_angle_gamma 122.83
_space_group_name_H-M_alt 'P 1'
_space_group_IT_number 1
loop_
_space_group_symop_operation_xyz
'x,y,z'
loop_
_atom_site_label
_atom_site_fract_x
_atom_site_fract_y
_atom_site_fract_z
V1 0.1203 0.6250 0.9953
V2 0.3750 0.3703 0.4953
V3 0.6297 0.1250 0.0047
V4 0.8750 0.8797 0.5047
Ni1 0.0000 0.0000 0.0000
Ni2 0.7500 0.2500 0.5000
Os1 0.2500 0.7500 0.5000
Os2 0.5000 0.5000 0.0000
# space group: I-42d (122)
# N(E_F): 10.36 states/eV/cell
# mass density: 10.381 g/cm³
# electronic total energy: -8.443 eV/atom
# energy of formation: 369 meV/atom